Entry 1:
This record from OQMD describes LiIn2Pd after structural relaxation. The functional is PBE.

Values from the calculation:
- Symmetry: No. 62
- Energy above the lowest structure with this stoichiometry: 0.0658 eV/atom
- Mass density: 7.7 g cm⁻³

abc: 7.2908 6.3269 6.3852
angles: 90.00 90.00 90.00
Last column: nearest neighbours and their distance in Å.
Fractional coordinates of all 16 atoms:
Li 0.0003 0.2500 0.2267  8 In 2.88-2.92, 3 Pd 2.95-3.16
Li 0.9997 0.7500 0.7733  8 In 2.88-2.92, 3 Pd 2.95-3.16
Li 0.5003 0.2500 0.2733  8 In 2.88-2.92, 3 Pd 2.95-3.16
Li 0.4997 0.7500 0.7267  8 In 2.88-2.92, 3 Pd 2.95-3.16
In 0.2372 0.0000 0.4996  4 Li 2.88-2.92, 4 Pd 2.89-2.91, 4 In 3.16-3.20
In 0.2372 0.5000 0.4996  4 Li 2.88-2.92, 4 Pd 2.89-2.91, 4 In 3.16-3.20
In 0.2628 0.0000 0.9996  4 Li 2.88-2.92, 4 Pd 2.89-2.91, 4 In 3.16-3.20
In 0.2628 0.5000 0.9996  4 Li 2.88-2.92, 4 Pd 2.89-2.91, 4 In 3.16-3.20
In 0.7372 0.0000 0.0004  4 Li 2.88-2.92, 4 Pd 2.89-2.91, 4 In 3.16-3.20
In 0.7372 0.5000 0.0004  4 Li 2.88-2.92, 4 Pd 2.89-2.91, 4 In 3.16-3.20
In 0.7628 0.0000 0.5004  4 Li 2.88-2.92, 4 Pd 2.89-2.91, 4 In 3.16-3.20
In 0.7628 0.5000 0.5004  4 Li 2.88-2.92, 4 Pd 2.89-2.91, 4 In 3.16-3.20
Pd 0.0007 0.2500 0.7645  8 In 2.89-2.91, 3 Li 2.95-3.16
Pd 0.4993 0.7500 0.2645  8 In 2.89-2.91, 3 Li 2.95-3.16
Pd 0.5007 0.2500 0.7355  8 In 2.89-2.91, 3 Li 2.95-3.16
Pd 0.9993 0.7500 0.2355  8 In 2.89-2.91, 3 Li 2.95-3.16



Entry 2:
This record from OQMD describes LiIn2Pd after structural relaxation. The functional is PBE.

Values from the calculation:
- Symmetry: No. 71
- Energy above the lowest structure with this stoichiometry: 0.0000 eV/atom
- Mass density: 7.8 g cm⁻³

abc: 4.6761 4.6921 6.6414
angles: 90.00 90.00 90.00
Last column: nearest neighbours and their distance in Å.
Fractional coordinates of all 8 atoms:
Li 0.0000 0.0000 0.0000  8 In 2.87-2.88
Li 0.5000 0.5000 0.5000  8 In 2.87-2.88
In 0.0000 0.5000 0.2506  4 Li 2.87-2.88, 4 Pd 2.87
In 0.0000 0.5000 0.7494  4 Li 2.87-2.88, 4 Pd 2.87
In 0.5000 0.0000 0.2494  4 Li 2.87-2.88, 4 Pd 2.87
In 0.5000 0.0000 0.7506  4 Li 2.87-2.88, 4 Pd 2.87
Pd 0.0000 0.0000 0.5000  8 In 2.87
Pd 0.5000 0.5000 0.0000  8 In 2.87



Entry 3:
This record from OQMD describes LiInPd after structural relaxation. The functional is PBE.

Values from the calculation:
- Symmetry: No. 216
- Mass density: 7.0 g cm⁻³

abc: 5.9916 5.9916 5.9916
angles: 90.00 90.00 90.00
Last column: nearest neighbours and their distance in Å.
Fractional coordinates of all 12 atoms:
Li 0.0000 0.0000 0.0000  4 In 2.59, 4 Pd 2.59
Li 0.0000 0.5000 0.5000  4 In 2.59, 4 Pd 2.59
Li 0.5000 0.0000 0.5000  4 In 2.59, 4 Pd 2.59
Li 0.5000 0.5000 0.0000  4 In 2.59, 4 Pd 2.59
In 0.2500 0.2500 0.7500  4 Li 2.59
In 0.2500 0.7500 0.2500  4 Li 2.59
In 0.7500 0.2500 0.2500  4 Li 2.59
In 0.7500 0.7500 0.7500  4 Li 2.59
Pd 0.2500 0.2500 0.2500  4 Li 2.59
Pd 0.2500 0.7500 0.7500  4 Li 2.59
Pd 0.7500 0.2500 0.7500  4 Li 2.59
Pd 0.7500 0.7500 0.2500  4 Li 2.59



Entry 4:
This record from OQMD describes LiInPd2 after structural relaxation. The functional is PBE.

Values from the calculation:
- Symmetry: No. 216
- Mass density: 8.6 g cm⁻³

abc: 6.3590 6.3590 6.3590
angles: 90.00 90.00 90.00
Last column: nearest neighbours and their distance in Å.
Fractional coordinates of all 16 atoms:
Li 0.0000 0.0000 0.0000  4 In 2.75, 4 Pd 2.75
Li 0.0000 0.5000 0.5000  4 In 2.75, 4 Pd 2.75
Li 0.5000 0.0000 0.5000  4 In 2.75, 4 Pd 2.75
Li 0.5000 0.5000 0.0000  4 In 2.75, 4 Pd 2.75
In 0.2500 0.2500 0.7500  4 Pd 2.75, 4 Li 2.75
In 0.2500 0.7500 0.2500  4 Li 2.75, 4 Pd 2.75
In 0.7500 0.2500 0.2500  4 Li 2.75, 4 Pd 2.75
In 0.7500 0.7500 0.7500  4 Pd 2.75, 4 Li 2.75
Pd 0.0000 0.0000 0.5000  4 Pd 2.75, 4 In 2.75
Pd 0.0000 0.5000 0.0000  4 Pd 2.75, 4 In 2.75
Pd 0.2500 0.2500 0.2500  4 Li 2.75, 4 Pd 2.75
Pd 0.2500 0.7500 0.7500  4 Li 2.75, 4 Pd 2.75
Pd 0.5000 0.0000 0.0000  4 Pd 2.75, 4 In 2.75
Pd 0.5000 0.5000 0.5000  4 Pd 2.75, 4 In 2.75
Pd 0.7500 0.2500 0.7500  4 Li 2.75, 4 Pd 2.75
Pd 0.7500 0.7500 0.2500  4 Li 2.75, 4 Pd 2.75



Entry 5:
This record from OQMD describes LiIn2Pd after structural relaxation. The functional is PBE.

Values from the calculation:
- Symmetry: No. 59
- Energy above the lowest structure with this stoichiometry: 0.0002 eV/atom
- Mass density: 7.8 g cm⁻³

abc: 4.6805 6.6303 4.6805
angles: 90.00 90.00 90.00
Last column: nearest neighbours and their distance in Å.
Fractional coordinates of all 8 atoms:
Li 0.2500 0.2500 0.2491  8 In 2.87
Li 0.7500 0.7500 0.7509  8 In 2.87
In 0.2500 0.9999 0.7495  4 Li 2.87, 4 Pd 2.87
In 0.2500 0.5001 0.7495  4 Li 2.87, 4 Pd 2.87
In 0.7500 0.0001 0.2505  4 Li 2.87, 4 Pd 2.87
In 0.7500 0.4999 0.2505  4 Li 2.87, 4 Pd 2.87
Pd 0.2500 0.7500 0.2493  8 In 2.87
Pd 0.7500 0.2500 0.7507  8 In 2.87



Entry 6:
This record from OQMD describes LiInPdPt after structural relaxation. The functional is PBE.

Values from the calculation:
- Symmetry: No. 119
- Mass density: 11.1 g cm⁻³

abc: 4.1706 4.1706 7.2925
angles: 90.00 90.00 90.00
Last column: nearest neighbours and their distance in Å.
Fractional coordinates of all 8 atoms:
Li 0.0000 0.0000 0.0000  4 Pd 2.77, 4 Pt 2.77, 4 In 2.95
Li 0.5000 0.5000 0.5000  4 Pd 2.77, 4 Pt 2.77, 4 In 2.95
In 0.0000 0.0000 0.5000  4 Pd 2.77, 4 Pt 2.77, 4 Li 2.95
In 0.5000 0.5000 0.0000  4 Pd 2.77, 4 Pt 2.77, 4 Li 2.95
Pd 0.0000 0.5000 0.2500  4 In 2.77, 4 Li 2.77, 4 Pt 2.95
Pd 0.5000 0.0000 0.7500  4 In 2.77, 4 Li 2.77, 4 Pt 2.95
Pt 0.0000 0.5000 0.7500  4 In 2.77, 4 Li 2.77, 4 Pd 2.95
Pt 0.5000 0.0000 0.2500  4 In 2.77, 4 Li 2.77, 4 Pd 2.95



Entry 7:
This record from OQMD describes Li2In4PdPt after structural relaxation. The functional is PBE.

Values from the calculation:
- Symmetry: No. 38
- Mass density: 7.8 g cm⁻³

abc: 8.3213 4.0004 9.9415
angles: 90.00 90.00 90.00
Last column: nearest neighbours and their distance in Å.
Fractional coordinates of all 16 atoms:
Li 0.0000 0.0000 0.0000  3 Pd 2.87-2.92
Li 0.0000 0.5000 0.5000  3 Pd 2.87-2.92
Li 0.5000 0.0000 0.1239  3 Pt 2.86-2.92
Li 0.5000 0.5000 0.6239  3 Pt 2.86-2.92
In 0.1971 0.0000 0.6996  2 Pd 2.75, 1 Pt 2.83, 1 In 2.89
In 0.1971 0.5000 0.1996  2 Pd 2.75, 1 Pt 2.83, 1 In 2.89
In 0.3023 0.0000 0.4223  2 Pt 2.75, 1 Pd 2.82, 1 In 2.89
In 0.3023 0.5000 0.9223  2 Pt 2.75, 1 Pd 2.82, 1 In 2.89
In 0.6977 0.0000 0.4223  2 Pt 2.75, 1 Pd 2.82, 1 In 2.89
In 0.6977 0.5000 0.9223  2 Pt 2.75, 1 Pd 2.82, 1 In 2.89
In 0.8029 0.0000 0.6996  2 Pd 2.75, 1 Pt 2.83, 1 In 2.89
In 0.8029 0.5000 0.1996  2 Pd 2.75, 1 Pt 2.83, 1 In 2.89
Pd 0.0000 0.0000 0.2936  6 In 2.75-2.82, 3 Li 2.87-2.92
Pd 0.0000 0.5000 0.7936  6 In 2.75-2.82, 3 Li 2.87-2.92
Pt 0.5000 0.0000 0.8299  6 In 2.75-2.83, 3 Li 2.86-2.92
Pt 0.5000 0.5000 0.3299  6 In 2.75-2.83, 3 Li 2.86-2.92



Entry 8:
This record from OQMD describes Li2Zn2In2PdPt after structural relaxation. The functional is PBE.

Values from the calculation:
- Symmetry: No. 115
- Mass density: 8.7 g cm⁻³

abc: 4.4956 4.4956 6.3487
angles: 90.00 90.00 90.00
Last column: nearest neighbours and their distance in Å.
Fractional coordinates of all 8 atoms:
Li 0.0000 0.0000 0.0000  4 Zn 2.75, 4 In 2.76
Li 0.5000 0.5000 0.5000  4 In 2.75, 4 Zn 2.75
Zn 0.0000 0.5000 0.2491  4 Li 2.75, 2 Pt 2.75, 2 Pd 2.75
Zn 0.5000 0.0000 0.7509  2 Pt 2.75, 4 Li 2.75, 2 Pd 2.75
In 0.0000 0.5000 0.7487  4 Li 2.75-2.76, 2 Pd 2.75, 2 Pt 2.76
In 0.5000 0.0000 0.2513  2 Pd 2.75, 4 Li 2.75-2.76, 2 Pt 2.76
Pd 0.0000 0.0000 0.5000  4 In 2.75, 4 Zn 2.75
Pt 0.5000 0.5000 0.0000  4 Zn 2.75, 4 In 2.76



Table of E_tot (eV/cell), in record order: -56.5 -28.8 -41.8 -67.8 -28.8 -36.7 -58.8 -27.0